Record 1
Compound: BaBeOs2
Source: Alexandria via LeMat-Bulk
Functional: SCAN
Structure: PBEsol geometry

Cell lengths 2.863, 4.770, 5.115 Å; angles 90.00, 90.00, 90.00 degrees
Fractional coordinates of all 4 atoms:
1 Ba 0.000 0.000 0.000
2 Be 0.500 0.500 0.000
3 Os 0.000 0.500 0.500
4 Os 0.500 0.000 0.500

Properties
* SG: Pmmm, No. 47

Record 2
Compound: TaAsSeN2
Source: Alexandria via LeMat-Bulk
Functional: SCAN
Structure: PBEsol geometry

Cell lengths 3.975, 3.975, 5.281 Å; angles 90.00, 90.00, 90.00 degrees
Fractional coordinates of all 5 atoms:
1 Ta 0.000 0.000 0.000
2 As 0.500 0.500 0.500
3 Se 0.000 0.000 0.500
4 N 0.000 0.500 0.000
5 N 0.500 0.000 0.000

Properties
* SG: P4/mmm, No. 123

Record 3
Compound: K3TiBe
Source: Alexandria via LeMat-Bulk
Functional: SCAN
Structure: PBEsol geometry

Cell lengths 6.208, 6.208, 6.208 Å; angles 90.00, 90.00, 90.00 degrees
Fractional coordinates of all 5 atoms:
1 K 0.000 0.000 0.500
2 K 0.000 0.500 0.000
3 K 0.500 0.000 0.000
4 Ti 0.500 0.500 0.500
5 Be 0.000 0.000 0.000

Properties
* SG: Pm-3m, No. 221

Number 1: Fermi-level density of states 3.43 states/eV/cell, electronic total energy -3.339 Ry/atom. Number 2: Fermi-level density of states 2.33 states/eV/cell, electronic total energy -1.819 Ry/atom. Number 3: Fermi-level density of states 5.00 states/eV/cell, electronic total energy -0.582 Ry/atom.